## 1
# CaBiF5 GGA-PBE relaxed
data_CaBiF5
_chemical_formula_sum 'Ca2 Bi2 F10'
_cell_length_a 6.081
_cell_length_b 6.081
_cell_length_c 8.479
_cell_angle_alpha 69.72
_cell_angle_beta 69.72
_cell_angle_gamma 72.08
_symmetry_space_group_name_H-M 'P 1'
_symmetry_Int_Tables_number 1
loop_
_symmetry_equiv_pos_as_xyz
'x,y,z'
loop_
_atom_site_label
_atom_site_type_symbol
_atom_site_fract_x
_atom_site_fract_y
_atom_site_fract_z
F1 F 0.718 0.781 0.134
Ca1 Ca 0.472 0.528 0.250
F2 F 0.326 0.702 0.546
F3 F 0.132 0.868 0.250
F4 F 0.298 0.674 0.954
F5 F 0.781 0.718 0.634
Ca2 Ca 0.528 0.472 0.750
F6 F 0.702 0.326 0.046
F7 F 0.282 0.219 0.866
Bi1 Bi 0.000 0.000 0.000
Bi2 Bi 0.000 0.000 0.500
F8 F 0.219 0.282 0.366
F9 F 0.674 0.298 0.454
F10 F 0.868 0.132 0.750
# M_tot: 0.00 μB per formula unit
# Volume: 135 Å³/f.u.
# Space group: C2/c

=====

## 2
# CaBiF5 GGA-PBE relaxed
data_CaBiF5
_chemical_formula_sum 'Ca1 Bi1 F5'
_cell_length_a 4.186
_cell_length_b 6.133
_cell_length_c 6.133
_cell_angle_alpha 72.28
_cell_angle_beta 70.05
_cell_angle_gamma 70.05
_symmetry_space_group_name_H-M 'P 1'
_symmetry_Int_Tables_number 1
loop_
_symmetry_equiv_pos_as_xyz
'x,y,z'
loop_
_atom_site_label
_atom_site_type_symbol
_atom_site_fract_x
_atom_site_fract_y
_atom_site_fract_z
Ca1 Ca 0.500 0.500 0.500
F1 F 0.000 0.500 0.500
Bi1 Bi 0.000 0.000 0.000
F2 F 0.756 0.244 0.244
F3 F 0.244 0.756 0.756
F4 F 0.500 0.177 0.823
F5 F 0.500 0.823 0.177
# M_tot: 0.00 μB per formula unit
# Volume: 136 Å³/f.u.
# Space group: Immm

=====

Going by the energies, 1 is most stable and the next is 0.079 eV/atom up.

=====

## 1
# CaBiF5 GGA-PBE relaxed
data_CaBiF5
_chemical_formula_sum 'Ca2 Bi2 F10'
_cell_length_a 5.090
_cell_length_b 5.090
_cell_length_c 7.893
_cell_angle_alpha 92.85
_cell_angle_beta 92.85
_cell_angle_gamma 88.08
_symmetry_space_group_name_H-M 'P 1'
_symmetry_Int_Tables_number 1
loop_
_symmetry_equiv_pos_as_xyz
'x,y,z'
loop_
_atom_site_label
_atom_site_type_symbol
_atom_site_fract_x
_atom_site_fract_y
_atom_site_fract_z
F1 F 0.609 0.748 0.501
F2 F 0.157 0.843 0.750
F3 F 0.916 0.373 0.664
F4 F 0.252 0.391 0.999
Ca1 Ca 0.000 0.000 0.500
Bi1 Bi 0.484 0.516 0.250
F5 F 0.373 0.916 0.164
Bi2 Bi 0.516 0.484 0.750
F6 F 0.391 0.252 0.499
F7 F 0.084 0.627 0.336
F8 F 0.843 0.157 0.250
Ca2 Ca 0.000 0.000 0.000
F9 F 0.748 0.609 0.001
F10 F 0.627 0.084 0.836
# M_tot: 0.00 μB per formula unit
# Volume: 102 Å³/f.u.
# Space group: C2/c

=====

## 2
# CaBiF5 GGA-PBE relaxed
data_CaBiF5
_chemical_formula_sum 'Ca4 Bi4 F20'
_cell_length_a 11.242
_cell_length_b 5.051
_cell_length_c 7.539
_cell_angle_alpha 87.84
_cell_angle_beta 90.00
_cell_angle_gamma 90.00
_symmetry_space_group_name_H-M 'P 1'
_symmetry_Int_Tables_number 1
loop_
_symmetry_equiv_pos_as_xyz
'x,y,z'
loop_
_atom_site_label
_atom_site_type_symbol
_atom_site_fract_x
_atom_site_fract_y
_atom_site_fract_z
F1 F 0.868 0.846 0.747
Bi1 Bi 0.251 0.953 0.472
F2 F 0.417 0.694 0.515
Ca1 Ca 0.014 0.527 0.750
F3 F 0.625 0.853 0.739
F4 F 0.270 0.677 0.252
F5 F 0.230 0.677 0.752
Bi2 Bi 0.749 0.047 0.528
F6 F 0.770 0.323 0.248
Ca2 Ca 0.986 0.473 0.250
F7 F 0.375 0.147 0.261
F8 F 0.083 0.694 0.015
Bi3 Bi 0.751 0.047 0.028
F9 F 0.125 0.147 0.761
Bi4 Bi 0.249 0.953 0.972
F10 F 0.084 0.690 0.477
F11 F 0.416 0.690 0.977
F12 F 0.584 0.310 0.023
Ca3 Ca 0.486 0.527 0.250
F13 F 0.368 0.154 0.753
F14 F 0.730 0.323 0.748
F15 F 0.875 0.853 0.239
F16 F 0.583 0.306 0.485
F17 F 0.916 0.310 0.523
F18 F 0.917 0.306 0.985
Ca4 Ca 0.514 0.473 0.750
F19 F 0.632 0.846 0.247
F20 F 0.132 0.154 0.253
# M_tot: 0.00 μB per formula unit
# Volume: 107 Å³/f.u.
# Space group: P2_1/c

=====

Going by the energies, 2 is most stable and the next is 0.043 eV/atom up.

=====

## 1
# Ca3Bi2F GGA-PBE relaxed
data_Ca3Bi2F
_chemical_formula_sum 'Ca6 Bi4 F2'
_cell_length_a 6.816
_cell_length_b 7.124
_cell_length_c 7.124
_cell_angle_alpha 103.35
_cell_angle_beta 90.00
_cell_angle_gamma 90.00
_symmetry_space_group_name_H-M 'P 1'
_symmetry_Int_Tables_number 1
loop_
_symmetry_equiv_pos_as_xyz
'x,y,z'
loop_
_atom_site_label
_atom_site_type_symbol
_atom_site_fract_x
_atom_site_fract_y
_atom_site_fract_z
Ca1 Ca 0.261 0.352 0.352
Bi1 Bi 0.261 0.543 0.843
F1 F 0.261 0.078 0.078
Ca2 Ca 0.011 0.163 0.837
Ca3 Ca 0.761 0.648 0.648
Ca4 Ca 0.011 0.837 0.163
Bi2 Bi 0.261 0.843 0.543
Ca5 Ca 0.511 0.163 0.837
F2 F 0.761 0.922 0.922
Ca6 Ca 0.511 0.837 0.163
Bi3 Bi 0.761 0.157 0.457
Bi4 Bi 0.761 0.457 0.157
# M_tot: 0.00 μB per formula unit
# Volume: 168 Å³/f.u.
# Space group: Cmcm

=====

## 2
# Ca3Bi2F GGA-PBE relaxed
data_Ca3Bi2F
_chemical_formula_sum 'Ca12 Bi8 F4'
_cell_length_a 4.043
_cell_length_b 9.431
_cell_length_c 18.123
_cell_angle_alpha 90.00
_cell_angle_beta 90.00
_cell_angle_gamma 90.00
_symmetry_space_group_name_H-M 'P 1'
_symmetry_Int_Tables_number 1
loop_
_symmetry_equiv_pos_as_xyz
'x,y,z'
loop_
_atom_site_label
_atom_site_type_symbol
_atom_site_fract_x
_atom_site_fract_y
_atom_site_fract_z
F1 F 0.250 0.857 0.867
Bi1 Bi 0.250 0.932 0.280
Ca1 Ca 0.250 0.529 0.394
F2 F 0.750 0.643 0.367
Ca2 Ca 0.250 0.809 0.730
F3 F 0.250 0.357 0.633
Ca3 Ca 0.750 0.471 0.606
Bi2 Bi 0.250 0.432 0.220
Bi3 Bi 0.750 0.568 0.780
Ca4 Ca 0.750 0.971 0.894
Ca5 Ca 0.750 0.880 0.417
Ca6 Ca 0.250 0.309 0.770
Bi4 Bi 0.750 0.068 0.720
Bi5 Bi 0.750 0.250 0.453
Ca7 Ca 0.250 0.620 0.917
Bi6 Bi 0.750 0.750 0.047
Ca8 Ca 0.250 0.029 0.106
Bi7 Bi 0.250 0.750 0.547
Ca9 Ca 0.750 0.380 0.083
Ca10 Ca 0.750 0.191 0.270
F4 F 0.750 0.143 0.133
Bi8 Bi 0.250 0.250 0.953
Ca11 Ca 0.250 0.120 0.583
Ca12 Ca 0.750 0.691 0.230
# M_tot: 0.00 μB per formula unit
# Volume: 173 Å³/f.u.
# Space group: Pnma

=====

Going by the energies, 2 is most stable and the next is 0.153 eV/atom up.